# PBE-GGA Fe2Ni2Pd, relaxed
# **Energy above the most stable polymorph in this dataset**: 280 meV per atom
# **Formation energy from the elements**: 293 meV/atom
# **Mass density**: 8.1 Mg/m³
data_Fe2Ni2Pd
_cell_length_a 3.830
_cell_length_b 3.830
_cell_length_c 4.993
_cell_angle_alpha 90.00
_cell_angle_beta 90.00
_cell_angle_gamma 110.68
_space_group_name_H-M_alt 'P 1'
_space_group_IT_number 1
_space_group_name_Hall 'P 1'
loop_
_atom_site_label
_atom_site_type_symbol
_atom_site_fract_x
_atom_site_fract_y
_atom_site_fract_z
Fe1 Fe 0.500 0.500 0.743
Fe2 Fe 0.500 0.500 0.257
Ni1 Ni 0.824 0.176 0.500
Ni2 Ni 0.176 0.824 0.500
Pd1 Pd 0.000 0.000 0.000

---

# PBE-GGA FeNiPd2, relaxed
# **Formation energy from the elements**: 82 meV/atom
# **Mass density**: 9.7 Mg/m³
data_FeNiPd2
_cell_length_a 2.681
_cell_length_b 4.935
_cell_length_c 5.093
_cell_angle_alpha 118.97
_cell_angle_beta 105.23
_cell_angle_gamma 90.01
_space_group_name_H-M_alt 'P 1'
_space_group_IT_number 1
_space_group_name_Hall 'P 1'
loop_
_atom_site_label
_atom_site_type_symbol
_atom_site_fract_x
_atom_site_fract_y
_atom_site_fract_z
Fe1 Fe 0.500 0.147 0.000
Ni1 Ni 0.500 0.622 0.000
Pd1 Pd 0.779 0.662 0.557
Pd2 Pd 0.221 0.105 0.443

---

# PBE-GGA FeNiPd2, relaxed
# **Formation energy from the elements**: 56 meV/atom
# **Mass density**: 9.8 Mg/m³
data_FeNiPd2
_cell_length_a 4.281
_cell_length_b 4.281
_cell_length_c 4.282
_cell_angle_alpha 60.00
_cell_angle_beta 60.00
_cell_angle_gamma 60.00
_space_group_name_H-M_alt 'P 1'
_space_group_IT_number 1
_space_group_name_Hall 'P 1'
loop_
_atom_site_label
_atom_site_type_symbol
_atom_site_fract_x
_atom_site_fract_y
_atom_site_fract_z
Pd1 Pd 0.250 0.250 0.250
Pd2 Pd 0.000 0.000 0.000
Ni1 Ni 0.500 0.500 0.500
Fe1 Fe 0.750 0.750 0.750